Density functional theory data (PBE+U) for a relaxed structure of LiFe2O2F3.

Unit cell a=5.283 b=5.283 c=9.885 alpha=91.66 beta=91.66 gamma=42.35
Element x y z (fractional)
1 Li 0.000 0.000 0.000
2 Li 0.671 0.671 0.162
3 Fe 0.007 0.007 0.376
4 Fe 0.067 0.067 0.687
5 Fe 0.722 0.722 0.866
6 Fe 0.734 0.734 0.502
7 O 0.172 0.172 0.483
8 O 0.197 0.197 0.843
9 O 0.635 0.635 0.679
10 O 0.921 0.921 0.543
11 F 0.088 0.088 0.201
12 F 0.533 0.533 0.372
13 F 0.559 0.559 0.980
14 F 0.812 0.812 0.038
15 F 0.816 0.816 0.311
16 F 0.913 0.913 0.807

Values from the calculation:
Crystal system: monoclinic
Energy, eV per atom: -5.471
Calculated density, Mg/m³: 3.7
E above lowest polymorph, eV per formula unit: 2.02